Entry 1:
## Cs2SrTe (PBE)

Data for an optimized crystal structure of Cs2SrTe.

Properties
Formation energy (no corrections) (meV/atom): -577
ΔE to the lowest computed polymorph (eV/f.u.): 0.000

The structure in extended XYZ format:
```
8
Lattice="-6.935 6.935 3.217 6.935 -6.935 3.217 6.935 6.935 -3.217" Properties=species:S:1:pos:R:3 pbc="T T T"
Cs 1.486 3.468 0.804
Cs -3.468 5.449 2.413
Cs -1.486 10.403 0.804
Cs 3.468 8.421 2.413
Sr 6.935 0.000 1.608
Sr 0.000 0.000 3.217
Te 0.000 0.000 0.000
Te 0.000 6.935 1.608
```

***

Entry 2:
## Na3Li3ScI8 (PBE)

Data for an optimized crystal structure of Na3Li3ScI8.

Properties
Formation energy (no corrections) (meV/atom): -1165

The structure in extended XYZ format:
```
15
Lattice="4.380 2.529 7.385 -4.380 2.529 7.385 0.000 -5.058 7.385" Properties=species:S:1:pos:R:3 pbc="T T T"
Na -2.190 -1.265 7.385
Na -2.190 1.265 14.770
Na 0.000 2.529 7.385
Li -4.380 0.000 11.078
Li -2.190 1.265 3.693
Li 2.190 1.265 3.693
Sc 0.000 0.000 11.078
I 0.000 0.000 5.389
I -2.169 -1.252 12.751
I 0.000 -2.504 9.404
I -2.169 1.252 9.404
I 2.169 -1.252 12.751
I 0.000 2.504 12.751
I 2.169 1.252 9.404
I 0.000 0.000 16.766
```

***

Entry 3:
## Sm2DySc7 (PBE)

Data for an optimized crystal structure of Sm2DySc7.

Properties
Energy of formation (kJ per mole of atoms): 15

The structure in extended XYZ format:
```
10
Lattice="3.043 -13.658 0.000 3.043 13.658 0.000 0.000 0.000 3.321" Properties=species:S:1:pos:R:3 pbc="T T T"
Sm 3.043 7.928 0.000
Sm 3.043 -7.928 0.000
Dy 3.043 0.000 1.660
Sc 0.000 0.000 0.000
Sc 1.545 2.670 0.000
Sc 3.043 4.938 1.660
Sc 1.545 -2.670 0.000
Sc 4.541 2.670 0.000
Sc 3.043 -4.938 1.660
Sc 4.541 -2.670 0.000
```

***

Entry 4:
## Ca4Mg2Zn (PBE)

Data for an optimized crystal structure of Ca4Mg2Zn.

Properties
Energy of formation (kJ per mole of atoms): 46
ΔE to the lowest computed polymorph (eV/f.u.): 3.374

The structure in extended XYZ format:
```
7
Lattice="-5.526 5.526 2.516 5.526 -5.526 2.516 5.526 5.526 -2.516" Properties=species:S:1:pos:R:3 pbc="T T T"
Ca 2.507 0.000 0.000
Ca 8.545 0.000 0.000
Ca 0.000 2.507 0.000
Ca 0.000 8.545 0.000
Mg 5.526 0.000 1.258
Mg 0.000 5.526 1.258
Zn 0.000 0.000 2.516
```

***

Entry 5:
## AgBiSbS4 (PBE)

Data for an optimized crystal structure of AgBiSbS4.

Properties
Formation energy (no corrections) (meV/atom): -189

The structure in extended XYZ format:
```
14
Lattice="-3.924 4.032 5.661 3.924 -4.032 5.661 3.924 4.032 -5.661" Properties=species:S:1:pos:R:3 pbc="T T T"
Ag 0.000 2.016 1.452
Ag 3.924 2.016 4.210
Bi 3.924 0.000 0.000
Bi 0.000 0.000 5.661
Sb 1.962 2.016 -2.831
Sb 1.962 -2.016 2.831
S 3.924 3.887 -2.858
S 1.957 2.016 -0.183
S 1.967 -2.016 5.479
S 3.924 -0.144 2.858
S 0.000 4.176 2.803
S 1.957 6.048 0.183
S 1.967 2.016 5.844
S 0.000 0.144 8.520
```

***

Entry 6:
## MgNi4B2 (PBE)

Data for an optimized crystal structure of MgNi4B2.

Properties
Energy of formation (kJ per mole of atoms): -22

The structure in extended XYZ format:
```
7
Lattice="1.740 -5.955 0.000 1.740 5.955 0.000 0.000 0.000 3.443" Properties=species:S:1:pos:R:3 pbc="T T T"
Mg 0.000 0.000 0.000
Ni 1.740 3.925 1.722
Ni 1.740 2.056 0.000
Ni 1.740 -2.056 0.000
Ni 1.740 -3.925 1.722
B 1.740 0.903 1.722
B 1.740 -0.903 1.722
```

***

Entry 7:
## NaLaAu2 (PBE)

Data for an optimized crystal structure of NaLaAu2.

Properties
Energy of formation (kJ per mole of atoms): -47
ΔE to the lowest computed polymorph (eV/f.u.): 0.522

The structure in extended XYZ format:
```
4
Lattice="2.167 1.251 6.968 -2.167 1.251 6.968 0.000 -2.502 6.968" Properties=species:S:1:pos:R:3 pbc="T T T"
Na 0.000 0.000 0.000
La 0.000 0.000 10.452
Au 0.000 0.000 5.247
Au 0.000 0.000 15.657
```

***

Entry 8:
## HoZrZn (PBE)

Data for an optimized crystal structure of HoZrZn.

Properties
Energy of formation (kJ per mole of atoms): 1
ΔE to the lowest computed polymorph (eV/f.u.): 0.652

The structure in extended XYZ format:
```
3
Lattice="4.858 0.000 0.000 -2.429 4.207 0.000 0.000 0.000 3.398" Properties=species:S:1:pos:R:3 pbc="T T T"
Ho 0.000 0.000 0.000
Zr 0.000 2.805 1.701
Zn 2.429 1.402 1.694
```

***

Entry 9:
## CaAsI (PBE)

Data for an optimized crystal structure of CaAsI.

Properties
Formation energy (no corrections) (meV/atom): -1171
ΔE to the lowest computed polymorph (eV/f.u.): 0.000

The structure in extended XYZ format:
```
6
Lattice="4.099 0.000 0.000 0.000 4.001 0.000 -0.246 0.000 11.638" Properties=species:S:1:pos:R:3 pbc="T T T"
Ca 0.904 1.000 2.338
Ca 2.949 3.001 9.300
As 0.973 3.001 11.589
As 2.880 1.000 0.049
I 0.894 1.000 7.786
I 2.960 3.001 3.852
```

***

Entry 10:
## Zr2AlAsAu (PBE)

Data for an optimized crystal structure of Zr2AlAsAu.

Properties
Energy of formation (kJ per mole of atoms): 33
ΔE to the lowest computed polymorph (eV/f.u.): 0.000

The structure in extended XYZ format:
```
5
Lattice="5.252 0.000 0.000 0.000 5.252 0.000 0.000 0.000 4.559" Properties=species:S:1:pos:R:3 pbc="T T T"
Zr 0.000 2.626 0.000
Zr 2.626 0.000 0.000
Al 0.000 0.000 2.280
As 2.626 2.626 2.280
Au 0.000 0.000 0.000
```

***

Entry 11:
## PrVCo (PBE)

Data for an optimized crystal structure of PrVCo.

Properties
Energy of formation (kJ per mole of atoms): 27

The structure in extended XYZ format:
```
6
Lattice="10.519 0.000 0.000 0.000 2.341 2.346 0.000 -2.341 2.346" Properties=species:S:1:pos:R:3 pbc="T T T"
Pr 1.792 0.000 0.000
Pr 8.727 0.000 0.000
V 4.261 0.000 2.352
V 6.257 0.000 2.352
Co 0.000 0.000 2.345
Co 5.259 0.000 0.006
```

***

Entry 12:
## HWCl2 (PBE)

Data for an optimized crystal structure of HWCl2.

Properties
ΔE to the lowest computed polymorph (eV/f.u.): 1.563

The structure in extended XYZ format:
```
8
Lattice="-2.576 2.576 4.520 2.576 -2.576 4.520 2.576 2.576 -4.520" Properties=species:S:1:pos:R:3 pbc="T T T"
H 0.000 0.000 0.000
H 0.000 2.576 2.260
W 2.576 0.000 2.260
W 0.000 0.000 4.520
Cl 3.865 0.944 -1.130
Cl 0.944 1.288 1.130
Cl -1.288 1.632 3.390
Cl 1.632 1.288 5.651
```